! La2InAg2 (PBE, optimized geometry); values from VASP
&SYSTEM
  ibrav = 0, nat = 5, ntyp = 3
/
ATOMIC_SPECIES
Ag 107.87 Ag.upf
La 138.91 La.upf
In 114.82 In.upf
CELL_PARAMETERS angstrom
-3.079 3.111 -4.061
-1.406 -5.071 -2.820
-5.686 -1.329 -1.097
ATOMIC_POSITIONS angstrom
Ag -6.869 -2.201 -5.258
La -4.667 -3.690 -3.678
Ag -3.301 -1.087 -2.719
In 0.000 0.000 0.000
La -5.503 0.401 -4.299
! Space group ... I4/mmm
! M_tot ... 0.00 Bohr magnetons per cell
! ΔE_f ... -0.151 eV/atom